Record 1
Below is a geometry-optimized AsSeF2 structure, with properties calculated at the PBE-GGA level. Values from VASP.

Results
Space-group type = Fm-3m, No. 225

Geometry as Quantum ESPRESSO input:
```
&SYSTEM
  ibrav = 0, nat = 4, ntyp = 3
/
ATOMIC_SPECIES
As 74.92 As.upf
Se 78.96 Se.upf
F 19.00 F.upf
CELL_PARAMETERS angstrom
0.000 3.051 3.051
3.051 0.000 3.051
3.051 3.051 0.000
ATOMIC_POSITIONS angstrom
As 0.000 0.000 0.000
Se 3.051 3.051 3.051
F 1.525 1.525 1.525
F 4.576 4.576 4.576
```

=====

Record 2
Below is a geometry-optimized InB3Sb structure, with properties calculated at the PBE-GGA level. Values from VASP.

Results
Space-group type = Pm-3m, No. 221

Geometry as Quantum ESPRESSO input:
```
&SYSTEM
  ibrav = 0, nat = 5, ntyp = 3
/
ATOMIC_SPECIES
Sb 121.76 Sb.upf
B 10.81 B.upf
In 114.82 In.upf
CELL_PARAMETERS angstrom
4.539 0.000 0.000
0.000 4.539 0.000
0.000 0.000 4.539
ATOMIC_POSITIONS angstrom
Sb 0.000 0.000 0.000
B 0.000 2.269 0.000
B 0.000 0.000 2.269
B 2.269 0.000 0.000
In 2.269 2.269 2.269
```

=====

Formation energy without anion corrections per entry: -121, 951 kJ/mol of formula units